1.
The following is a PBE-GGA calculation of crystalline Er2ZrTe4 at its relaxed geometry, from the Alexandria database.

The uncorrected formation energy comes out at -1.1766 eV per atom.

The structure belongs to space group C2/m (No. 12); the cell edges are 15.506, 4.248 and 7.511 Å and the angles 90.00°, 118.46° and 90.00°. Symmetry generates all atoms from Er at (0.250, 0.000, 0.234), Zr at (0.000, 0.000, 0.000), Te at (0.114, 0.000, 0.781) and Te at (0.121, 0.500, 0.293).

***

2.
The following is a PBE-GGA calculation of crystalline ErZrTe2 at its relaxed geometry, from the Alexandria database.

The uncorrected formation energy comes out at -0.6078 eV per atom. The value obtained for the polymorph energy (0 for the lowest one) is 430 meV/atom.

The structure belongs to space group R-3m (No. 166, hexagonal axes); the cell edges are 3.8889, 3.8889 and 29.2449 Å and the angles 90.00°, 90.00° and 120.00°. Symmetry generates all atoms from Er at (0.0000, 0.0000, 0.0000), Zr at (0.0000, 0.0000, 0.5000) and Te at (0.0000, 0.0000, 0.1031).

***

3.
The following is a PBE-GGA calculation of crystalline ErZrTe2 at its relaxed geometry, from the Alexandria database.

The uncorrected formation energy comes out at -1.0376 eV per atom. The value obtained for the polymorph energy (0 for the lowest one) is 0 meV/atom.

The structure belongs to space group P2_1/m (No. 11); the cell edges are 7.226, 3.921 and 7.919 Å and the angles 90.00°, 90.02° and 90.00°. Symmetry generates all atoms from Er at (0.147, 0.250, 0.373), Zr at (0.126, 0.250, 0.879), Te at (0.289, 0.750, 0.639) and Te at (0.293, 0.750, 0.113).

***

4.
The following is a PBE-GGA calculation of crystalline ErZrTe4 at its relaxed geometry, from the Alexandria database.

The uncorrected formation energy comes out at -0.7837 eV per atom. The value obtained for the polymorph energy (0 for the lowest one) is 158 meV/atom.

The structure belongs to space group P2_1/c (No. 14); the cell edges are 7.262, 7.333 and 7.286 Å and the angles 90.00°, 91.57° and 90.00°. Symmetry generates all atoms from Er at (0.000, 0.000, 0.000), Zr at (0.500, 0.000, 0.500), Te at (0.140, 0.129, 0.382) and Te at (0.371, 0.646, 0.346).

***

5.
The following is a PBE-GGA calculation of crystalline Er5Th at its relaxed geometry, from the Alexandria database.

The calculation puts the formation energy at 0.02 eV per atom. The value obtained for the polymorph energy (0 for the lowest one) is 0 meV/atom.

The structure belongs to space group Cm (No. 8); the cell edges are 12.859, 3.587 and 8.373 Å and the angles 90.00°, 103.46° and 90.00°. Symmetry generates all atoms from Er at (0.000, 0.000, 0.000), Er at (0.052, 0.000, 0.611), Er at (0.165, 0.500, 0.338), Er at (0.223, 0.500, 0.946), Er at (0.331, 0.000, 0.665) and Th at (0.383, 0.000, 0.271).

***

6.
The following is a PBE-GGA calculation of crystalline ErTh4 at its relaxed geometry, from the Alexandria database.

The calculation puts the formation energy at 1.02 eV per atom. The value obtained for the polymorph energy (0 for the lowest one) is 997 meV/atom.

The structure belongs to space group Pm-3m (No. 221); the cell edges are 5.688, 5.688 and 5.688 Å and the angles 90.00°, 90.00° and 90.00°. Symmetry generates all atoms from Er at (0.000, 0.000, 0.000), Th at (0.000, 0.000, 0.500) and Th at (0.500, 0.500, 0.500).

***

7.
The following is a PBE-GGA calculation of crystalline Er6Th5 at its relaxed geometry, from the Alexandria database.

The calculation puts the formation energy at 0.13 eV per atom.

The structure belongs to space group C2/m (No. 12); the cell edges are 10.134, 13.323 and 6.026 Å and the angles 90.00°, 119.35° and 90.00°. Symmetry generates all atoms from Er at (0.180, 0.000, 0.078), Er at (0.183, 0.133, 0.591), Th at (0.000, 0.237, 0.000), Th at (0.000, 0.366, 0.500) and Th at (0.000, 0.500, 0.000).

***

8.
The following is a PBE-GGA calculation of crystalline ErTh3 at its relaxed geometry, from the Alexandria database.

The calculation puts the formation energy at 0.05 eV per atom. The value obtained for the polymorph energy (0 for the lowest one) is 15 meV/atom.

The structure belongs to space group Pm-3m (No. 221); the cell edges are 5.040, 5.040 and 5.040 Å and the angles 90.00°, 90.00° and 90.00°. Symmetry generates all atoms from Er at (0.000, 0.000, 0.000) and Th at (0.000, 0.500, 0.500).

***

9.
The following is a PBE-GGA calculation of crystalline Er3Th at its relaxed geometry, from the Alexandria database.

The calculation puts the formation energy at 0.04 eV per atom. The value obtained for the polymorph energy (0 for the lowest one) is 14 meV/atom.

The structure belongs to space group P6_3/mmc (No. 194); the cell edges are 7.1452, 7.1452 and 5.6921 Å and the angles 90.00°, 90.00° and 120.00°. Symmetry generates all atoms from Er at (0.1670, 0.3341, 0.2500) and Th at (0.3333, 0.6667, 0.7500).

***

10.
The following is a PBE-GGA calculation of crystalline Er3Th at its relaxed geometry, from the Alexandria database.

The calculation puts the formation energy at 0.05 eV per atom. The value obtained for the polymorph energy (0 for the lowest one) is 16 meV/atom.

The structure belongs to space group I4/mmm (No. 139); the cell edges are 5.042, 5.042 and 9.827 Å and the angles 90.00°, 90.00° and 90.00°. Symmetry generates all atoms from Er at (0.000, 0.000, 0.000), Er at (0.000, 0.500, 0.250) and Th at (0.000, 0.000, 0.500).

***

11.
The following is a PBE-GGA calculation of crystalline Er5Th4 at its relaxed geometry, from the Alexandria database.

The calculation puts the formation energy at 0.13 eV per atom. The value obtained for the polymorph energy (0 for the lowest one) is 91 meV/atom.

The structure belongs to space group I4/mmm (No. 139); the cell edges are 12.531, 12.531 and 3.621 Å and the angles 90.00°, 90.00° and 90.00°. Symmetry generates all atoms from Er at (0.000, 0.000, 0.000), Er at (0.166, 0.166, 0.500) and Th at (0.000, 0.336, 0.000).

***

12.
The following is a PBE-GGA calculation of crystalline Er5Th4 at its relaxed geometry, from the Alexandria database.

The calculation puts the formation energy at 0.04 eV per atom. The value obtained for the polymorph energy (0 for the lowest one) is 0 meV/atom.

The structure belongs to space group I4/mmm (No. 139); the cell edges are 10.626, 10.626 and 5.017 Å and the angles 90.00°, 90.00° and 90.00°. Symmetry generates all atoms from Er at (0.000, 0.000, 0.000), Er at (0.000, 0.330, 0.000) and Th at (0.166, 0.166, 0.500).

***

13.
The following is a PBE-GGA calculation of crystalline ErTh3 at its relaxed geometry, from the Alexandria database.

The calculation puts the formation energy at 0.04 eV per atom. The value obtained for the polymorph energy (0 for the lowest one) is 0 meV/atom.

The structure belongs to space group C2/m (No. 12); the cell edges are 11.797, 3.542 and 6.160 Å and the angles 90.00°, 99.72° and 90.00°. Symmetry generates all atoms from Er at (0.000, 0.000, 0.000), Th at (0.000, 0.500, 0.500) and Th at (0.249, 0.500, 0.249).

***

14.
The following is a PBE-GGA calculation of crystalline Er3Th at its relaxed geometry, from the Alexandria database.

The calculation puts the formation energy at 0.04 eV per atom. The value obtained for the polymorph energy (0 for the lowest one) is 13 meV/atom.

The structure belongs to space group Pmm2 (No. 25); the cell edges are 3.588, 5.708 and 6.136 Å and the angles 90.00°, 90.00° and 90.00°. Symmetry generates all atoms from Er at (0.000, 0.000, 0.000), Er at (0.000, 0.500, 0.340), Er at (0.500, 0.500, 0.832) and Th at (0.500, 0.000, 0.489).

***

15.
The following is a PBE-GGA calculation of crystalline ErTh3 at its relaxed geometry, from the Alexandria database.

The calculation puts the formation energy at 0.05 eV per atom. The value obtained for the polymorph energy (0 for the lowest one) is 13 meV/atom.

The structure belongs to space group Imm2 (No. 44); the cell edges are 3.551, 11.758 and 6.153 Å and the angles 90.00°, 90.00° and 90.00°. Symmetry generates all atoms from Er at (0.000, 0.000, 0.000), Th at (0.000, 0.252, 0.678) and Th at (0.000, 0.500, 0.009).

***

16.
The following is a PBE-GGA calculation of crystalline Er4Th at its relaxed geometry, from the Alexandria database.

The calculation puts the formation energy at 0.05 eV per atom. The value obtained for the polymorph energy (0 for the lowest one) is 0 meV/atom.

The structure belongs to space group Cmmm (No. 65); the cell edges are 5.331, 16.651 and 3.479 Å and the angles 90.00°, 90.00° and 90.00°. Symmetry generates all atoms from Er at (0.000, 0.108, 0.000), Er at (0.000, 0.301, 0.500) and Th at (0.000, 0.500, 0.500).

***

17.
The following is a PBE-GGA calculation of crystalline Er7Th2 at its relaxed geometry, from the Alexandria database.

The calculation puts the formation energy at 0.03 eV per atom.

The structure belongs to space group P-31m (No. 162); the cell edges are 6.1153, 6.1153 and 8.6255 Å and the angles 90.00°, 90.00° and 120.00°. Symmetry generates all atoms from Er at (0.0000, 0.0000, 0.0000), Er at (0.0000, 0.3358, 0.6686) and Th at (0.3333, 0.6667, 0.0000).

***

18.
The following is a PBE-GGA calculation of crystalline ErTh3 at its relaxed geometry, from the Alexandria database.

The calculation puts the formation energy at 0.17 eV per atom. The value obtained for the polymorph energy (0 for the lowest one) is 135 meV/atom.

The structure belongs to space group Fm-3m (No. 225); the cell edges are 8.011, 8.011 and 8.011 Å and the angles 90.00°, 90.00° and 90.00°. Symmetry generates all atoms from Er at (0.000, 0.000, 0.000), Th at (0.000, 0.000, 0.500) and Th at (0.250, 0.250, 0.250).

***

19.
The following is a PBE-GGA calculation of crystalline Er8Th at its relaxed geometry, from the Alexandria database.

The calculation puts the formation energy at 0.03 eV per atom.

The structure belongs to space group I4/mmm (No. 139); the cell edges are 10.552, 10.552 and 4.985 Å and the angles 90.00°, 90.00° and 90.00°. Symmetry generates all atoms from Er at (0.000, 0.332, 0.000), Er at (0.165, 0.165, 0.500) and Th at (0.000, 0.000, 0.000).

***

20.
The following is a PBE-GGA calculation of crystalline Er3Th at its relaxed geometry, from the Alexandria database.

The calculation puts the formation energy at 0.14 eV per atom. The value obtained for the polymorph energy (0 for the lowest one) is 112 meV/atom.

The structure belongs to space group Fm-3m (No. 225); the cell edges are 7.951, 7.951 and 7.951 Å and the angles 90.00°, 90.00° and 90.00°. Symmetry generates all atoms from Er at (0.000, 0.000, 0.000), Er at (0.250, 0.250, 0.250) and Th at (0.000, 0.000, 0.500).

***

21.
The following is a PBE-GGA calculation of crystalline Er5Th at its relaxed geometry, from the Alexandria database.

The calculation puts the formation energy at 0.04 eV per atom. The value obtained for the polymorph energy (0 for the lowest one) is 14 meV/atom.

The structure belongs to space group Cmmm (No. 65); the cell edges are 4.985, 14.905 and 5.000 Å and the angles 90.00°, 90.00° and 90.00°. Symmetry generates all atoms from Er at (0.000, 0.000, 0.000), Er at (0.000, 0.166, 0.500), Er at (0.000, 0.336, 0.000) and Th at (0.000, 0.500, 0.500).

***

22.
The following is a PBE-GGA calculation of crystalline Er4Th at its relaxed geometry, from the Alexandria database.

The calculation puts the formation energy at 0.21 eV per atom. The value obtained for the polymorph energy (0 for the lowest one) is 157 meV/atom.

The structure belongs to space group P2/c (No. 13); the cell edges are 6.286, 9.392 and 5.938 Å and the angles 90.00°, 114.39° and 90.00°. Symmetry generates all atoms from Er at (0.183, 0.192, 0.069), Er at (0.241, 0.429, 0.519) and Th at (0.500, 0.103, 0.750).

***

23.
The following is a PBE-GGA calculation of crystalline Er2Th5 at its relaxed geometry, from the Alexandria database.

The calculation puts the formation energy at 0.18 eV per atom. The value obtained for the polymorph energy (0 for the lowest one) is 137 meV/atom.

The structure belongs to space group R-3m (No. 166, hexagonal axes); the cell edges are 5.6572, 5.6572 and 24.4215 Å and the angles 90.00°, 90.00° and 120.00°. Symmetry generates all atoms from Er at (0.0000, 0.0000, 0.1398), Th at (0.0000, 0.0000, 0.0000), Th at (0.0000, 0.0000, 0.2831) and Th at (0.0000, 0.0000, 0.4232).

***

24.
The following is a PBE-GGA calculation of crystalline ErTh3 at its relaxed geometry, from the Alexandria database.

The calculation puts the formation energy at 0.04 eV per atom. The value obtained for the polymorph energy (0 for the lowest one) is 3 meV/atom.

The structure belongs to space group I4/mmm (No. 139); the cell edges are 5.021, 5.021 and 10.120 Å and the angles 90.00°, 90.00° and 90.00°. Symmetry generates all atoms from Er at (0.000, 0.000, 0.000), Th at (0.000, 0.000, 0.500) and Th at (0.000, 0.500, 0.250).

***

25.
The following is a PBE-GGA calculation of crystalline ErTh4 at its relaxed geometry, from the Alexandria database.

The calculation puts the formation energy at 0.03 eV per atom. The value obtained for the polymorph energy (0 for the lowest one) is 13 meV/atom.

The structure belongs to space group Immm (No. 71); the cell edges are 3.593, 4.992 and 17.789 Å and the angles 90.00°, 90.00° and 90.00°. Symmetry generates all atoms from Er at (0.000, 0.000, 0.000), Th at (0.000, 0.000, 0.199) and Th at (0.000, 0.000, 0.399).

***

26.
The following is a PBE-GGA calculation of crystalline Er2Th5 at its relaxed geometry, from the Alexandria database.

The calculation puts the formation energy at 0.04 eV per atom. The value obtained for the polymorph energy (0 for the lowest one) is 0 meV/atom.

The structure belongs to space group C2/m (No. 12); the cell edges are 11.272, 4.994 and 7.977 Å and the angles 90.00°, 97.72° and 90.00°. Symmetry generates all atoms from Er at (0.070, 0.000, 0.215), Th at (0.000, 0.500, 0.500), Th at (0.144, 0.500, 0.931) and Th at (0.214, 0.000, 0.643).

***

| no. | magnetic moment (μB per atom) |
| --- | --- |
| 1 | 0.000 |
| 2 | 0.000 |
| 3 | 0.000 |
| 4 | 0.000 |
| 5 | 0.000 |
| 6 | 0.000 |
| 7 | 0.000 |
| 8 | 0.000 |
| 9 | 0.000 |
| 10 | 0.000 |
| 11 | 0.000 |
| 12 | 0.000 |
| 13 | 0.000 |
| 14 | 0.000 |
| 15 | 0.000 |
| 16 | 0.000 |
| 17 | 0.000 |
| 18 | 0.000 |
| 19 | 0.000 |
| 20 | 0.000 |
| 21 | 0.000 |
| 22 | 0.000 |
| 23 | 0.000 |
| 24 | 0.000 |
| 25 | 0.000 |
| 26 | 0.000 |